A geometry-optimized Dy2TlSe structure. Source: Alexandria via LeMat-Bulk, functional PBE-GGA.

## Properties
Total magnetic moment = 0.00 μB per formula unit
Crystal system = tetragonal
Relative energy among the computed polymorphs = 179 meV per atom
Electronic total energy = -4.63 eV per atom
Uncorrected formation energy = -0.87 eV/atom
Density of states at the Fermi level = 2.98 states/eV/cell

abc: 3.5138 3.5138 8.0599
angles: 90.00 90.00 90.00
Space group P4/mmm (No. 123)
Symmetry-distinct sites (fractional):
Dy 0.0000 0.0000 0.2271
Tl 0.5000 0.5000 0.5000
Se 0.5000 0.5000 0.0000